Record 1
GGA-PBE Gd2AlSnPd4, relaxed; calculated volume = 20.0 Å³/atom; SG = P-3m1, No. 164; raw total energy = -44.90 eV per cell; magnetic moment = 0.0 μB/f.u.
1.0
4.5135 0.0000 0.0000
-2.2568 3.9088 0.0000
0.0000 0.0000 9.0718
Al Gd Pd Sn
1 2 4 1
Direct
0.0000 0.0000 0.5000
0.3333 0.6667 0.2532
0.6667 0.3333 0.7468
0.6667 0.3333 0.0892
0.6667 0.3333 0.4241
0.3333 0.6667 0.5759
0.3333 0.6667 0.9108
0.0000 0.0000 0.0000

Record 2
GGA-PBE TbGdAl2Pd4, relaxed; calculated volume = 19.0 Å³/atom; SG = P-6m2, No. 187; raw total energy = -44.97 eV per cell; magnetic moment = 0.0 μB/f.u.
1.0
-3.4957 1.9057 1.8318
-0.3979 -2.0823 -3.8357
-1.9205 -7.7677 4.4161
Al Gd Pd Tb
2 1 4 1
Direct
0.6667 0.3333 0.2501
0.6667 0.3333 0.7499
0.0000 0.0000 0.0000
0.3333 0.6667 0.1709
0.0000 0.0000 0.3293
0.0000 0.0000 0.6707
0.3333 0.6667 0.8291
0.3333 0.6667 0.5000

Which value of raw total energy does entry 1 give? -44.90 eV per cell

Please write out number 1 again, unchanged.
GGA-PBE Gd2AlSnPd4, relaxed; calculated volume = 20.0 Å³/atom; SG = P-3m1, No. 164; raw total energy = -44.90 eV per cell; magnetic moment = 0.0 μB/f.u.
1.0
4.5135 0.0000 0.0000
-2.2568 3.9088 0.0000
0.0000 0.0000 9.0718
Al Gd Pd Sn
1 2 4 1
Direct
0.0000 0.0000 0.5000
0.3333 0.6667 0.2532
0.6667 0.3333 0.7468
0.6667 0.3333 0.0892
0.6667 0.3333 0.4241
0.3333 0.6667 0.5759
0.3333 0.6667 0.9108
0.0000 0.0000 0.0000

Copy entry 2 word for word.
GGA-PBE TbGdAl2Pd4, relaxed; calculated volume = 19.0 Å³/atom; SG = P-6m2, No. 187; raw total energy = -44.97 eV per cell; magnetic moment = 0.0 μB/f.u.
1.0
-3.4957 1.9057 1.8318
-0.3979 -2.0823 -3.8357
-1.9205 -7.7677 4.4161
Al Gd Pd Tb
2 1 4 1
Direct
0.6667 0.3333 0.2501
0.6667 0.3333 0.7499
0.0000 0.0000 0.0000
0.3333 0.6667 0.1709
0.0000 0.0000 0.3293
0.0000 0.0000 0.6707
0.3333 0.6667 0.8291
0.3333 0.6667 0.5000